Entry 1:
Compound: CsTiC3
Source: Alexandria
Functional: PBE
Structure: relaxed Values from VASP.

Structure (Quantum ESPRESSO input):
```
&SYSTEM
  ibrav = 0, nat = 5, ntyp = 3
/
ATOMIC_SPECIES
Ti 47.87 Ti.upf
Cs 132.91 Cs.upf
C 12.01 C.upf
CELL_PARAMETERS angstrom
4.375 0.000 0.000
0.000 4.375 0.000
0.000 0.000 4.375
ATOMIC_POSITIONS crystal
Ti 0.500 0.500 0.500
Cs 0.000 0.000 0.000
C 0.500 0.000 0.000
C 0.000 0.500 0.000
C 0.000 0.000 0.500
```

Properties
Space-group type: Pm-3m
Total energy in eV per atom: -3.348
DFT formation energy in eV/atom: 3.9364

Entry 2:
Compound: AcGa4Ir
Source: Alexandria
Functional: PBE
Structure: relaxed Values from VASP.

Structure (Quantum ESPRESSO input):
```
&SYSTEM
  ibrav = 0, nat = 12, ntyp = 3
/
ATOMIC_SPECIES
Ir 192.22 Ir.upf
Ga 69.72 Ga.upf
Ac 227.00 Ac.upf
CELL_PARAMETERS angstrom
-1.110 2.688 -3.112
-7.111 -1.336 1.383
-0.109 5.896 5.132
ATOMIC_POSITIONS crystal
Ir 0.000 0.192 0.750
Ga 0.500 0.702 0.435
Ac 0.000 0.621 0.750
Ga 0.500 0.045 0.250
Ga 0.000 0.000 0.000
Ga 0.500 0.702 0.065
Ga 0.500 0.298 0.565
Ir 0.000 0.808 0.250
Ga 0.500 0.298 0.935
Ga 0.000 0.000 0.500
Ga 0.500 0.955 0.750
Ac 0.000 0.379 0.250
```

Properties
Space-group type: Pmma
Total energy in eV per atom: -4.732
DFT formation energy in eV/atom: -0.5526

Entry 3:
Compound: NaMg2HgN
Source: Alexandria
Functional: PBE
Structure: relaxed Values from VASP.

Structure (Quantum ESPRESSO input):
```
&SYSTEM
  ibrav = 0, nat = 5, ntyp = 4
/
ATOMIC_SPECIES
N 14.01 N.upf
Mg 24.30 Mg.upf
Hg 200.59 Hg.upf
Na 22.99 Na.upf
CELL_PARAMETERS angstrom
4.272 0.000 0.000
0.000 4.272 0.000
0.000 0.000 4.971
ATOMIC_POSITIONS crystal
N 0.000 0.000 0.000
Mg 0.500 0.000 0.000
Hg 0.500 0.500 0.500
Na 0.000 0.000 0.500
Mg 0.000 0.500 0.000
```

Properties
Space-group type: P4/mmm
Formation energy from raw total energies in eV per formula unit: -1.3
Total energy in eV per atom: -2.886

Entry 4:
Compound: LiSF6
Source: Alexandria
Functional: PBE
Structure: relaxed Values from VASP.

Structure (Quantum ESPRESSO input):
```
&SYSTEM
  ibrav = 0, nat = 8, ntyp = 3
/
ATOMIC_SPECIES
F 19.00 F.upf
Li 6.94 Li.upf
S 32.06 S.upf
CELL_PARAMETERS angstrom
-3.362 -2.138 -2.679
1.178 -4.728 0.202
-1.929 -2.841 3.641
ATOMIC_POSITIONS crystal
F 0.281 0.263 0.000
Li 0.000 0.000 0.000
F 0.719 0.436 0.724
F 0.281 0.564 0.276
F 0.719 0.159 0.276
S 0.500 0.500 0.000
F 0.719 0.737 0.000
F 0.281 0.841 0.724
```

Properties
Space-group type: C2/m
Formation energy from raw total energies in eV per formula unit: -14.3
Total energy in eV per atom: -3.944

Entry 5:
Compound: TiFe3Bi
Source: Alexandria
Functional: PBE
Structure: relaxed Values from VASP.

Structure (Quantum ESPRESSO input):
```
&SYSTEM
  ibrav = 0, nat = 5, ntyp = 3
/
ATOMIC_SPECIES
Fe 55.84 Fe.upf
Bi 208.98 Bi.upf
Ti 47.87 Ti.upf
CELL_PARAMETERS angstrom
4.481 0.000 0.000
0.000 4.481 0.000
0.000 0.000 4.481
ATOMIC_POSITIONS crystal
Fe 0.000 0.000 0.500
Fe 0.000 0.500 0.000
Fe 0.500 0.000 0.000
Bi 0.500 0.500 0.500
Ti 0.000 0.000 0.000
```

Properties
Space-group type: Pm-3m
Total energy in eV per atom: -6.466
DFT formation energy in eV/atom: 0.9663

Entry 6:
Compound: LaAsSCl2
Source: Alexandria
Functional: PBE
Structure: relaxed Values from VASP.

Structure (Quantum ESPRESSO input):
```
&SYSTEM
  ibrav = 0, nat = 5, ntyp = 4
/
ATOMIC_SPECIES
Cl 35.45 Cl.upf
La 138.91 La.upf
S 32.06 S.upf
As 74.92 As.upf
CELL_PARAMETERS angstrom
-4.853 2.315 -1.106
-1.187 -4.123 -3.423
-2.380 -2.917 4.339
ATOMIC_POSITIONS crystal
Cl 0.000 0.500 0.000
La 0.000 0.000 0.000
S 0.000 0.000 0.500
Cl 0.500 0.000 0.000
As 0.500 0.500 0.500
```

Properties
Space-group type: P4/mmm
Formation energy from raw total energies in eV per formula unit: -4.2
Total energy in eV per atom: -4.320